1.
Tb3Er2TmTe6 | PBE | optimized geometry

Cell lengths 4.316, 8.736, 9.728 Å; angles 103.65, 102.82, 90.00 degrees
Atoms (fractional coordinates):
Tb1 0.500 0.500 0.000
Tb2 0.832 0.167 0.665
Tb3 0.168 0.833 0.335
Er1 0.833 0.666 0.665
Er2 0.167 0.334 0.335
Tm1 0.500 0.000 0.000
Te1 0.335 0.915 0.671
Te2 0.667 0.580 0.335
Te3 0.665 0.085 0.329
Te4 0.001 0.246 0.002
Te5 0.999 0.754 0.998
Te6 0.333 0.420 0.665

Values from the calculation:
Space group: No. 12
Uncorrected formation energy, eV per atom: -1.2543
Electronic total energy, eV per atom: -5.12
Magnetic moment, μB per cell: 0.00

2.
Tb2ErTm3Te6 | PBE | optimized geometry

Cell lengths 4.301, 8.707, 9.691 Å; angles 103.44, 102.82, 90.00 degrees
Atoms (fractional coordinates):
Tb1 0.831 0.663 0.663
Tb2 0.169 0.337 0.337
Er1 0.500 0.000 0.000
Tm1 0.500 0.500 0.000
Tm2 0.831 0.166 0.661
Tm3 0.169 0.834 0.339
Te1 0.334 0.921 0.668
Te2 0.664 0.588 0.328
Te3 0.666 0.079 0.332
Te4 0.998 0.250 0.996
Te5 0.002 0.750 0.004
Te6 0.336 0.412 0.672

Values from the calculation:
Space group: No. 12
Uncorrected formation energy, eV per atom: -1.2233
Electronic total energy, eV per atom: -5.06
Magnetic moment, μB per cell: 0.00

3.
TbY2ErTe6 | PBE | optimized geometry

Cell lengths 7.690, 7.690, 8.307 Å; angles 62.43, 62.43, 60.00 degrees
Atoms (fractional coordinates):
Tb1 0.823 0.823 0.530
Y1 0.510 0.510 0.471
Y2 0.009 0.009 0.973
Er1 0.324 0.324 0.028
Te1 0.599 0.230 0.251
Te2 0.230 0.920 0.251
Te3 0.920 0.599 0.251
Te4 0.416 0.728 0.753
Te5 0.728 0.103 0.753
Te6 0.103 0.416 0.753

Values from the calculation:
Space group: No. 146
Uncorrected formation energy, eV per atom: -1.3712
Electronic total energy, eV per atom: -5.47
Magnetic moment, μB per cell: 0.00

4.
TbY3Er2Te6 | PBE | optimized geometry

Cell lengths 4.334, 8.741, 9.730 Å; angles 103.03, 102.87, 90.00 degrees
Atoms (fractional coordinates):
Tb1 0.500 0.000 0.000
Y1 0.500 0.500 0.000
Y2 0.836 0.167 0.672
Y3 0.164 0.833 0.328
Er1 0.835 0.670 0.670
Er2 0.165 0.330 0.330
Te1 0.332 0.914 0.664
Te2 0.668 0.580 0.337
Te3 0.668 0.086 0.336
Te4 0.001 0.251 0.003
Te5 0.999 0.749 0.997
Te6 0.332 0.420 0.663

Values from the calculation:
Space group: No. 12
Uncorrected formation energy, eV per atom: -1.2773
Electronic total energy, eV per atom: -5.61
Magnetic moment, μB per cell: 0.00

5.
Tb3YEr2Te6 | PBE | optimized geometry

Cell lengths 4.334, 8.752, 9.740 Å; angles 103.16, 102.85, 90.00 degrees
Atoms (fractional coordinates):
Tb1 0.500 0.500 0.000
Tb2 0.835 0.168 0.671
Tb3 0.165 0.832 0.329
Y1 0.500 0.000 0.000
Er1 0.834 0.669 0.669
Er2 0.166 0.331 0.331
Te1 0.332 0.914 0.665
Te2 0.668 0.580 0.337
Te3 0.668 0.086 0.335
Te4 0.002 0.250 0.003
Te5 0.998 0.750 0.997
Te6 0.332 0.420 0.663

Values from the calculation:
Space group: No. 12
Uncorrected formation energy, eV per atom: -1.2775
Electronic total energy, eV per atom: -5.31
Magnetic moment, μB per cell: 0.00

6.
Tb2YEr3Te6 | PBE | optimized geometry

Cell lengths 4.328, 8.731, 9.725 Å; angles 103.34, 102.86, 90.00 degrees
Atoms (fractional coordinates):
Tb1 0.833 0.666 0.666
Tb2 0.167 0.334 0.334
Y1 0.500 0.000 0.000
Er1 0.500 0.500 0.000
Er2 0.833 0.167 0.666
Er3 0.167 0.833 0.334
Te1 0.333 0.920 0.665
Te2 0.665 0.586 0.331
Te3 0.667 0.080 0.335
Te4 0.999 0.252 0.998
Te5 0.001 0.748 0.002
Te6 0.335 0.414 0.669

Values from the calculation:
Space group: No. 12
Uncorrected formation energy, eV per atom: -1.2609
Electronic total energy, eV per atom: -5.28
Magnetic moment, μB per cell: 0.00